Record 1
# KU2CoS4 | Alexandria via LeMat-Bulk | GGA-PBE | relaxed
data_KU2CoS4
_chemical_formula_sum 'K4 U8 Co4 S16'
_cell_length_a 3.833
_cell_length_b 13.661
_cell_length_c 13.352
_cell_angle_alpha 90.00
_cell_angle_beta 90.00
_cell_angle_gamma 90.00
_space_group_name_H-M_alt 'C m c m'
_space_group_IT_number 63
_space_group_name_Hall '-C 2c 2'
loop_
_atom_site_label
_atom_site_type_symbol
_atom_site_fract_x
_atom_site_fract_y
_atom_site_fract_z
K1 K 0.000 0.100 0.250
U1 U 0.000 0.365 0.060
Co1 Co 0.000 0.170 0.750
S1 S 0.000 0.000 0.000
S2 S 0.000 0.265 0.615
S3 S 0.000 0.419 0.250
# Energy relative to the elements, uncorrected = -1.2423 eV/atom
# Final energy = -7.15 eV per atom
# Mass density = 6.673 g cm⁻³
# V = 21.8 Å³ per atom

---

Record 2
# ScSe2F4 | Alexandria via LeMat-Bulk | GGA-PBE | relaxed
data_ScSe2F4
_chemical_formula_sum 'Sc2 Se4 F8'
_cell_length_a 3.957
_cell_length_b 3.957
_cell_length_c 17.323
_cell_angle_alpha 90.00
_cell_angle_beta 90.00
_cell_angle_gamma 90.00
_space_group_name_H-M_alt 'I 4/m m m'
_space_group_IT_number 139
_space_group_name_Hall '-I 4 2'
loop_
_atom_site_label
_atom_site_type_symbol
_atom_site_fract_x
_atom_site_fract_y
_atom_site_fract_z
Sc1 Sc 0.000 0.000 0.000
Se1 Se 0.000 0.000 0.250
F1 F 0.000 0.000 0.117
F2 F 0.000 0.500 0.000
# Energy relative to the elements, uncorrected = -2.2629 eV/atom
# Final energy = -5.23 eV per atom
# Mass density = 3.414 g cm⁻³
# V = 19.4 Å³ per atom

---

Record 3
# Ca2In9Ag6 | Alexandria via LeMat-Bulk | GGA-PBE | relaxed
data_Ca2In9Ag6
_chemical_formula_sum 'Ca2 In9 Ag6'
_cell_length_a 6.0565
_cell_length_b 6.0565
_cell_length_c 13.9675
_cell_angle_alpha 90.00
_cell_angle_beta 90.00
_cell_angle_gamma 120.00
_space_group_name_H-M_alt 'P 6/m m m'
_space_group_IT_number 191
_space_group_name_Hall '-P 6 2'
loop_
_atom_site_label
_atom_site_type_symbol
_atom_site_fract_x
_atom_site_fract_y
_atom_site_fract_z
Ca1 Ca 0.0000 0.0000 0.1587
In1 In 0.0000 0.5000 0.0000
In2 In 0.0000 0.5000 0.3344
Ag1 Ag 0.3333 0.6667 0.1667
Ag2 Ag 0.3333 0.6667 0.5000
# Energy relative to the elements = -0.041 eV per atom
# Final energy = -2.73 eV per atom
# Mass density = 6.589 g cm⁻³
# V = 26.1 Å³ per atom

---

Record 4
# Zr3CdHg4 | Alexandria via LeMat-Bulk | GGA-PBE | relaxed
data_Zr3CdHg4
_chemical_formula_sum 'Zr6 Cd2 Hg8'
_cell_length_a 9.980
_cell_length_b 6.180
_cell_length_c 5.771
_cell_angle_alpha 90.00
_cell_angle_beta 90.00
_cell_angle_gamma 90.00
_space_group_name_H-M_alt 'P m n 21'
_space_group_IT_number 31
_space_group_name_Hall 'P 2ac -2'
loop_
_atom_site_label
_atom_site_type_symbol
_atom_site_fract_x
_atom_site_fract_y
_atom_site_fract_z
Zr1 Zr 0.000 0.172 0.000
Zr2 Zr 0.239 0.598 0.761
Cd1 Cd 0.000 0.644 0.102
Hg1 Hg 0.000 0.343 0.509
Hg2 Hg 0.000 0.854 0.597
Hg3 Hg 0.235 0.896 0.232
# Energy relative to the elements = -0.018 eV per atom
# Excess energy over the best structure of this formula in the dataset = 0.100 eV/atom
# Final energy = -3.49 eV per atom
# Mass density = 11.088 g cm⁻³
# V = 22.2 Å³ per atom

---

Record 5
# Pa3B9Os2 | Alexandria via LeMat-Bulk | GGA-PBE | relaxed
data_Pa3B9Os2
_chemical_formula_sum 'Pa6 B18 Os4'
_cell_length_a 3.112
_cell_length_b 8.007
_cell_length_c 13.429
_cell_angle_alpha 90.00
_cell_angle_beta 90.00
_cell_angle_gamma 90.00
_space_group_name_H-M_alt 'I m m m'
_space_group_IT_number 71
_space_group_name_Hall '-I 2 2'
loop_
_atom_site_label
_atom_site_type_symbol
_atom_site_fract_x
_atom_site_fract_y
_atom_site_fract_z
Pa1 Pa 0.000 0.000 0.000
Pa2 Pa 0.000 0.000 0.268
B1 B 0.000 0.264 0.133
B2 B 0.000 0.320 0.362
B3 B 0.000 0.500 0.000
Os1 Os 0.000 0.175 0.500
# Energy relative to the elements = -0.270 eV per atom
# Final energy = -8.20 eV per atom
# Mass density = 11.619 g cm⁻³
# V = 12.0 Å³ per atom

---

Record 6
# RbScPCl2 | Alexandria via LeMat-Bulk | GGA-PBE | relaxed
data_RbScPCl2
_chemical_formula_sum 'Rb1 Sc1 P1 Cl2'
_cell_length_a 5.182
_cell_length_b 5.182
_cell_length_c 5.161
_cell_angle_alpha 90.00
_cell_angle_beta 90.00
_cell_angle_gamma 90.00
_space_group_name_H-M_alt 'P 4/m m m'
_space_group_IT_number 123
_space_group_name_Hall '-P 4 2'
loop_
_atom_site_label
_atom_site_type_symbol
_atom_site_fract_x
_atom_site_fract_y
_atom_site_fract_z
Rb1 Rb 0.000 0.000 0.000
Sc1 Sc 0.500 0.500 0.500
P1 P 0.500 0.500 0.000
Cl1 Cl 0.000 0.500 0.500
# Energy relative to the elements, uncorrected = -1.2903 eV/atom
# Excess energy over the best structure of this formula in the dataset = 0.000 eV/atom
# Final energy = -4.57 eV per atom
# Mass density = 2.784 g cm⁻³
# V = 27.7 Å³ per atom

---

Record 7
# K2Sn2B | Alexandria via LeMat-Bulk | GGA-PBE | relaxed
data_K2Sn2B
_chemical_formula_sum 'K4 Sn4 B2'
_cell_length_a 4.165
_cell_length_b 4.165
_cell_length_c 20.676
_cell_angle_alpha 90.00
_cell_angle_beta 90.00
_cell_angle_gamma 90.00
_space_group_name_H-M_alt 'I 4/m m m'
_space_group_IT_number 139
_space_group_name_Hall '-I 4 2'
loop_
_atom_site_label
_atom_site_type_symbol
_atom_site_fract_x
_atom_site_fract_y
_atom_site_fract_z
K1 K 0.000 0.000 0.089
Sn1 Sn 0.000 0.500 0.250
B1 B 0.000 0.000 0.500
# Energy relative to the elements = 0.790 eV per atom
# Excess energy over the best structure of this formula in the dataset = 0.000 eV/atom
# Final energy = -2.59 eV per atom
# Mass density = 3.022 g cm⁻³
# V = 35.9 Å³ per atom

---

Record 8
# Ce3Zn2Ru2 | Alexandria via LeMat-Bulk | GGA-PBE | relaxed
data_Ce3Zn2Ru2
_chemical_formula_sum 'Ce12 Zn8 Ru8'
_cell_length_a 6.114
_cell_length_b 6.909
_cell_length_c 13.767
_cell_angle_alpha 90.00
_cell_angle_beta 90.00
_cell_angle_gamma 90.00
_space_group_name_H-M_alt 'P b c m'
_space_group_IT_number 57
_space_group_name_Hall '-P 2c 2b'
loop_
_atom_site_label
_atom_site_type_symbol
_atom_site_fract_x
_atom_site_fract_y
_atom_site_fract_z
Ce1 Ce 0.110 0.031 0.116
Ce2 Ce 0.358 0.687 0.250
Zn1 Zn 0.394 0.095 0.573
Ru1 Ru 0.189 0.187 0.750
Ru2 Ru 0.232 0.750 0.000
# Energy relative to the elements = -0.345 eV per atom
# Final energy = -5.90 eV per atom
# Mass density = 8.604 g cm⁻³
# V = 20.8 Å³ per atom

---

Record 9
# TlCdRu2 | Alexandria via LeMat-Bulk | GGA-PBE | relaxed
data_TlCdRu2
_chemical_formula_sum 'Tl4 Cd4 Ru8'
_cell_length_a 7.529
_cell_length_b 7.529
_cell_length_c 5.436
_cell_angle_alpha 90.00
_cell_angle_beta 90.00
_cell_angle_gamma 90.00
_space_group_name_H-M_alt 'I -4 2 d'
_space_group_IT_number 122
_space_group_name_Hall 'I -4 2bw'
loop_
_atom_site_label
_atom_site_type_symbol
_atom_site_fract_x
_atom_site_fract_y
_atom_site_fract_z
Tl1 Tl 0.000 0.000 0.000
Cd1 Cd 0.000 0.000 0.500
Ru1 Ru 0.248 0.750 0.125
# Energy relative to the elements = 0.973 eV per atom
# Final energy = -4.49 eV per atom
# Mass density = 11.188 g cm⁻³
# V = 19.3 Å³ per atom

---

Record 10
# ThNpOs2 | Alexandria via LeMat-Bulk | GGA-PBE | relaxed
data_ThNpOs2
_chemical_formula_sum 'Th1 Np1 Os2'
_cell_length_a 5.021
_cell_length_b 5.021
_cell_length_c 3.323
_cell_angle_alpha 90.00
_cell_angle_beta 90.00
_cell_angle_gamma 90.00
_space_group_name_H-M_alt 'P 4/m m m'
_space_group_IT_number 123
_space_group_name_Hall '-P 4 2'
loop_
_atom_site_label
_atom_site_type_symbol
_atom_site_fract_x
_atom_site_fract_y
_atom_site_fract_z
Th1 Th 0.000 0.000 0.000
Np1 Np 0.500 0.500 0.000
Os1 Os 0.000 0.500 0.500
# Energy relative to the elements = 0.093 eV per atom
# Excess energy over the best structure of this formula in the dataset = 0.152 eV/atom
# Final energy = -10.61 eV per atom
# Mass density = 16.838 g cm⁻³
# V = 20.9 Å³ per atom

---

Record 11
# Hg2Pt2Au | Alexandria via LeMat-Bulk | GGA-PBE | relaxed
data_Hg2Pt2Au
_chemical_formula_sum 'Hg4 Pt4 Au2'
_cell_length_a 3.748
_cell_length_b 3.748
_cell_length_c 14.630
_cell_angle_alpha 90.00
_cell_angle_beta 90.00
_cell_angle_gamma 90.00
_space_group_name_H-M_alt 'I 4/m m m'
_space_group_IT_number 139
_space_group_name_Hall '-I 4 2'
loop_
_atom_site_label
_atom_site_type_symbol
_atom_site_fract_x
_atom_site_fract_y
_atom_site_fract_z
Hg1 Hg 0.000 0.000 0.101
Pt1 Pt 0.000 0.500 0.250
Au1 Au 0.000 0.000 0.500
# Energy relative to the elements = 0.217 eV per atom
# Excess energy over the best structure of this formula in the dataset = 0.190 eV/atom
# Final energy = -2.98 eV per atom
# Mass density = 15.971 g cm⁻³
# V = 20.6 Å³ per atom

---

Record 12
# RbCd2InSn | Alexandria via LeMat-Bulk | GGA-PBE | relaxed
data_RbCd2InSn
_chemical_formula_sum 'Rb2 Cd4 In2 Sn2'
_cell_length_a 4.911
_cell_length_b 5.052
_cell_length_c 12.633
_cell_angle_alpha 90.00
_cell_angle_beta 90.00
_cell_angle_gamma 90.00
_space_group_name_H-M_alt 'I m m 2'
_space_group_IT_number 44
_space_group_name_Hall 'I 2 -2'
loop_
_atom_site_label
_atom_site_type_symbol
_atom_site_fract_x
_atom_site_fract_y
_atom_site_fract_z
Rb1 Rb 0.000 0.000 0.000
Cd1 Cd 0.000 0.000 0.615
Cd2 Cd 0.000 0.500 0.254
In1 In 0.000 0.500 0.744
Sn1 Sn 0.000 0.000 0.382
# Energy relative to the elements = -0.119 eV per atom
# Final energy = -2.03 eV per atom
# Mass density = 5.763 g cm⁻³
# V = 31.3 Å³ per atom

---

Record 13
# SbTe2PtN | Alexandria via LeMat-Bulk | GGA-PBE | relaxed
data_SbTe2PtN
_chemical_formula_sum 'Sb1 Te2 Pt1 N1'
_cell_length_a 5.313
_cell_length_b 5.313
_cell_length_c 5.159
_cell_angle_alpha 90.00
_cell_angle_beta 90.00
_cell_angle_gamma 90.00
_space_group_name_H-M_alt 'P 4/m m m'
_space_group_IT_number 123
_space_group_name_Hall '-P 4 2'
loop_
_atom_site_label
_atom_site_type_symbol
_atom_site_fract_x
_atom_site_fract_y
_atom_site_fract_z
Sb1 Sb 0.000 0.000 0.000
Te1 Te 0.000 0.500 0.500
Pt1 Pt 0.000 0.000 0.500
N1 N 0.500 0.500 0.000
# Energy relative to the elements, uncorrected = 1.5766 eV/atom
# Excess energy over the best structure of this formula in the dataset = 1.145 eV/atom
# Final energy = -3.38 eV per atom
# Mass density = 6.683 g cm⁻³
# V = 29.1 Å³ per atom

---

Record 14
# CaPm2MnN4 | Alexandria via LeMat-Bulk | GGA-PBE | relaxed
data_CaPm2MnN4
_chemical_formula_sum 'Ca4 Pm8 Mn4 N16'
_cell_length_a 3.504
_cell_length_b 12.063
_cell_length_c 11.979
_cell_angle_alpha 90.00
_cell_angle_beta 90.00
_cell_angle_gamma 90.00
_space_group_name_H-M_alt 'C m c m'
_space_group_IT_number 63
_space_group_name_Hall '-C 2c 2'
loop_
_atom_site_label
_atom_site_type_symbol
_atom_site_fract_x
_atom_site_fract_y
_atom_site_fract_z
Ca1 Ca 0.000 0.119 0.250
Pm1 Pm 0.000 0.370 0.042
Mn1 Mn 0.000 0.173 0.750
N1 N 0.000 0.000 0.000
N2 N 0.000 0.264 0.630
N3 N 0.000 0.395 0.250
# Energy relative to the elements, uncorrected = -0.9419 eV/atom
# Final energy = -7.69 eV per atom
# Mass density = 5.786 g cm⁻³
# V = 15.8 Å³ per atom

---

Record 15
# Sc2InBi | Alexandria via LeMat-Bulk | GGA-PBE | relaxed
data_Sc2InBi
_chemical_formula_sum 'Sc8 In4 Bi4'
_cell_length_a 7.324
_cell_length_b 7.324
_cell_length_c 7.324
_cell_angle_alpha 90.00
_cell_angle_beta 90.00
_cell_angle_gamma 90.00
_space_group_name_H-M_alt 'F m -3 m'
_space_group_IT_number 225
_space_group_name_Hall '-F 4 2 3'
loop_
_atom_site_label
_atom_site_type_symbol
_atom_site_fract_x
_atom_site_fract_y
_atom_site_fract_z
Sc1 Sc 0.250 0.250 0.250
In1 In 0.000 0.000 0.000
Bi1 Bi 0.000 0.000 0.500
# Energy relative to the elements = -0.322 eV per atom
# Excess energy over the best structure of this formula in the dataset = 0.077 eV/atom
# Final energy = -5.14 eV per atom
# Mass density = 6.995 g cm⁻³
# V = 24.6 Å³ per atom

---

Record 16
# CrTc2W | Alexandria via LeMat-Bulk | GGA-PBE | relaxed
data_CrTc2W
_chemical_formula_sum 'Cr3 Tc6 W3'
_cell_length_a 2.7408
_cell_length_b 2.7408
_cell_length_c 26.7685
_cell_angle_alpha 90.00
_cell_angle_beta 90.00
_cell_angle_gamma 120.00
_space_group_name_H-M_alt 'R 3 m'
_space_group_IT_number 160
_space_group_name_Hall 'R 3 -2"'
loop_
_atom_site_label
_atom_site_type_symbol
_atom_site_fract_x
_atom_site_fract_y
_atom_site_fract_z
Cr1 Cr 0.0000 0.0000 0.0000
Tc1 Tc 0.0000 0.0000 0.4944
Tc2 Tc 0.0000 0.0000 0.7440
W1 W 0.0000 0.0000 0.2492
# Energy relative to the elements = 0.268 eV per atom
# Final energy = -10.56 eV per atom
# Mass density = 12.353 g cm⁻³
# V = 14.5 Å³ per atom

---

Record 17
# HoLuMgOs | Alexandria via LeMat-Bulk | GGA-PBE | relaxed
data_HoLuMgOs
_chemical_formula_sum 'Ho4 Lu4 Mg4 Os4'
_cell_length_a 6.981
_cell_length_b 6.981
_cell_length_c 6.981
_cell_angle_alpha 90.00
_cell_angle_beta 90.00
_cell_angle_gamma 90.00
_space_group_name_H-M_alt 'F -4 3 m'
_space_group_IT_number 216
_space_group_name_Hall 'F -4 2 3'
loop_
_atom_site_label
_atom_site_type_symbol
_atom_site_fract_x
_atom_site_fract_y
_atom_site_fract_z
Ho1 Ho 0.000 0.000 0.000
Lu1 Lu 0.000 0.000 0.500
Mg1 Mg 0.250 0.250 0.750
Os1 Os 0.250 0.250 0.250
# Energy relative to the elements = -0.188 eV per atom
# Final energy = -5.67 eV per atom
# Mass density = 10.824 g cm⁻³
# V = 21.3 Å³ per atom

---

Record 18
# YTm3Cd | Alexandria via LeMat-Bulk | GGA-PBE | relaxed
data_YTm3Cd
_chemical_formula_sum 'Y4 Tm12 Cd4'
_cell_length_a 12.894
_cell_length_b 3.592
_cell_length_c 12.504
_cell_angle_alpha 90.00
_cell_angle_beta 94.58
_cell_angle_gamma 90.00
_space_group_name_H-M_alt 'C 1 2/m 1'
_space_group_IT_number 12
_space_group_name_Hall '-C 2y'
loop_
_atom_site_label
_atom_site_type_symbol
_atom_site_fract_x
_atom_site_fract_y
_atom_site_fract_z
Y1 Y 0.233 0.000 0.254
Tm1 Tm 0.033 0.000 0.688
Tm2 Tm 0.135 0.500 0.482
Tm3 Tm 0.145 0.000 0.947
Cd1 Cd 0.057 0.500 0.127
# Energy relative to the elements = -0.110 eV per atom
# Excess energy over the best structure of this formula in the dataset = 0.000 eV/atom
# Final energy = -4.27 eV per atom
# Mass density = 8.147 g cm⁻³
# V = 28.9 Å³ per atom

---

Record 19
# AsRuSe2N | Alexandria via LeMat-Bulk | GGA-PBE | relaxed
data_AsRuSe2N
_chemical_formula_sum 'As1 Ru1 Se2 N1'
_cell_length_a 5.048
_cell_length_b 5.048
_cell_length_c 3.474
_cell_angle_alpha 90.00
_cell_angle_beta 90.00
_cell_angle_gamma 90.00
_space_group_name_H-M_alt 'P 4/m m m'
_space_group_IT_number 123
_space_group_name_Hall '-P 4 2'
loop_
_atom_site_label
_atom_site_type_symbol
_atom_site_fract_x
_atom_site_fract_y
_atom_site_fract_z
As1 As 0.000 0.000 0.000
Ru1 Ru 0.500 0.500 0.500
Se1 Se 0.000 0.500 0.000
N1 N 0.000 0.000 0.500
# Energy relative to the elements, uncorrected = 1.2358 eV/atom
# Excess energy over the best structure of this formula in the dataset = 0.755 eV/atom
# Final energy = -4.61 eV per atom
# Mass density = 6.525 g cm⁻³
# V = 17.7 Å³ per atom

---

Record 20
# Ca2NiSI | Alexandria via LeMat-Bulk | GGA-PBE | relaxed
data_Ca2NiSI
_chemical_formula_sum 'Ca2 Ni1 S1 I1'
_cell_length_a 5.545
_cell_length_b 5.545
_cell_length_c 4.160
_cell_angle_alpha 90.00
_cell_angle_beta 90.00
_cell_angle_gamma 90.00
_space_group_name_H-M_alt 'P 4/m m m'
_space_group_IT_number 123
_space_group_name_Hall '-P 4 2'
loop_
_atom_site_label
_atom_site_type_symbol
_atom_site_fract_x
_atom_site_fract_y
_atom_site_fract_z
Ca1 Ca 0.000 0.500 0.000
Ni1 Ni 0.000 0.000 0.000
S1 S 0.000 0.000 0.500
I1 I 0.500 0.500 0.500
# Energy relative to the elements, uncorrected = -0.8462 eV/atom
# Final energy = -3.94 eV per atom
# Mass density = 3.866 g cm⁻³
# V = 25.6 Å³ per atom